First-principles (GGA-PBEsol) data for Li3CaRh after structural relaxation, as listed in Alexandria via LeMat-Bulk.

a b c (Å): 4.6741 4.6741 4.6741
angles (deg): 90.00 90.00 90.00
Sites, in units of the cell vectors:
Li  0.0000  0.0000  0.5000
Li  0.0000  0.5000  0.0000
Li  0.5000  0.0000  0.0000
Ca  0.5000  0.5000  0.5000
Rh  0.0000  0.0000  0.0000

- Formation enthalpy at 0 K: 0.6 eV per formula unit
- SG: No. 221

***

First-principles (GGA-PBEsol) data for Sr2MnNi after structural relaxation, as listed in Alexandria via LeMat-Bulk.

a b c (Å): 5.1410 5.1410 3.7607
angles (deg): 90.00 90.00 90.00
Sites, in units of the cell vectors:
Sr  0.0000  0.5000  0.0000
Sr  0.5000  0.0000  0.0000
Mn  0.0000  0.0000  0.5000
Ni  0.5000  0.5000  0.5000

- Formation enthalpy at 0 K: 2.3 eV per formula unit
- SG: No. 123

***

First-principles (GGA-PBEsol) data for NaLaMo2O8 after structural relaxation, as listed in Alexandria via LeMat-Bulk.

a b c (Å): 6.8789 6.8789 6.8789
angles (deg): 134.59 134.59 66.17
Sites, in units of the cell vectors:
Na  0.0000  0.0000  0.0000
La  0.2500  0.7500  0.5000
Mo  0.5000  0.5000  0.0000
Mo  0.7500  0.2500  0.5000
O  0.2707  0.6493  0.0934
O  0.3507  0.4441  0.6214
O  0.4280  0.0185  0.1118
O  0.5559  0.1773  0.9066
O  0.6837  0.5720  0.5904
O  0.8227  0.7293  0.3786
O  0.9067  0.3163  0.8882
O  0.9815  0.0933  0.4096

- SG: No. 82
- Uncorrected formation energy: -2.445 eV per atom

***

First-principles (GGA-PBEsol) data for Ba2In2Si3SO10 after structural relaxation, as listed in Alexandria via LeMat-Bulk.

a b c (Å): 23.0874 5.3159 8.7955
angles (deg): 90.00 90.00 90.00
Sites, in units of the cell vectors:
Ba  0.0938  0.1291  0.0000
Ba  0.2249  0.1451  0.3482
Ba  0.2751  0.1451  0.8482
Ba  0.4062  0.1291  0.5000
Ba  0.5938  0.8709  0.0000
Ba  0.7249  0.8549  0.3482
Ba  0.7751  0.8549  0.8482
Ba  0.9062  0.8709  0.5000
In  0.0650  0.1182  0.5197
In  0.1513  0.5508  0.6799
In  0.3487  0.5508  0.1799
In  0.4350  0.1182  0.0197
In  0.5650  0.8818  0.5197
In  0.6513  0.4492  0.6799
In  0.8487  0.4492  0.1799
In  0.9350  0.8818  0.0197
Si  0.0123  0.6290  0.7435
Si  0.1072  0.6228  0.3052
Si  0.2041  0.6194  0.0539
Si  0.2959  0.6194  0.5539
Si  0.3928  0.6228  0.8052
Si  0.4877  0.6290  0.2435
Si  0.5123  0.3710  0.7435
Si  0.6072  0.3772  0.3052
Si  0.7041  0.3806  0.0539
Si  0.7959  0.3806  0.5539
Si  0.8928  0.3772  0.8052
Si  0.9877  0.3710  0.2435
S  0.1536  0.0079  0.6749
S  0.3464  0.0079  0.1749
S  0.6536  0.9921  0.6749
S  0.8464  0.9921  0.1749
O  0.0117  0.7690  0.9081
O  0.0143  0.8228  0.6010
O  0.0502  0.5182  0.2148
O  0.0638  0.4143  0.7355
O  0.1076  0.9254  0.3228
O  0.1165  0.4534  0.4585
O  0.1613  0.5232  0.1968
O  0.1780  0.4739  0.9043
O  0.2034  0.9215  0.0495
O  0.2346  0.4774  0.5898
O  0.2654  0.4774  0.0898
O  0.2966  0.9215  0.5495
O  0.3220  0.4739  0.4043
O  0.3387  0.5232  0.6968
O  0.3835  0.4534  0.9585
O  0.3924  0.9254  0.8228
O  0.4362  0.4143  0.2355
O  0.4498  0.5182  0.7148
O  0.4857  0.8228  0.1010
O  0.4883  0.7690  0.4081
O  0.5117  0.2310  0.9081
O  0.5143  0.1772  0.6010
O  0.5502  0.4818  0.2148
O  0.5638  0.5857  0.7355
O  0.6076  0.0746  0.3228
O  0.6165  0.5466  0.4585
O  0.6613  0.4768  0.1968
O  0.6780  0.5261  0.9043
O  0.7034  0.0785  0.0495
O  0.7346  0.5226  0.5898
O  0.7654  0.5226  0.0898
O  0.7966  0.0785  0.5495
O  0.8220  0.5261  0.4043
O  0.8387  0.4768  0.6968
O  0.8835  0.5466  0.9585
O  0.8924  0.0746  0.8228
O  0.9362  0.5857  0.2355
O  0.9498  0.4818  0.7148
O  0.9857  0.1772  0.1010
O  0.9883  0.2310  0.4081

- SG: No. 29
- Uncorrected formation energy: -2.503 eV per atom

***

First-principles (GGA-PBEsol) data for TlAgH2Pb after structural relaxation, as listed in Alexandria via LeMat-Bulk.

a b c (Å): 4.0993 4.0993 5.5703
angles (deg): 90.00 90.00 90.00
Sites, in units of the cell vectors:
Tl  0.0000  0.0000  0.0000
Ag  0.0000  0.0000  0.5000
H  0.0000  0.5000  0.5000
H  0.5000  0.0000  0.5000
Pb  0.5000  0.5000  0.0000

- SG: No. 123
- Electronic total energy: -2.720 eV per atom

***

First-principles (GGA-PBEsol) data for Be2AgP after structural relaxation, as listed in Alexandria via LeMat-Bulk.

a b c (Å): 3.4268 3.5950 4.9278
angles (deg): 90.00 109.84 90.00
Sites, in units of the cell vectors:
Be  0.0000  0.0000  0.0000
Be  0.4866  0.5000  0.9727
Ag  0.1726  0.5000  0.3501
P  0.3698  0.0000  0.7325

- Formation enthalpy at 0 K: 0.2 eV per formula unit
- SG: No. 6

***

First-principles (GGA-PBEsol) data for CoTcNi2 after structural relaxation, as listed in Alexandria via LeMat-Bulk.

a b c (Å): 4.3288 2.5150 4.3757
angles (deg): 90.00 109.49 90.00
Sites, in units of the cell vectors:
Co  0.0000  0.0000  0.0000
Tc  0.5000  0.5000  0.0000
Ni  0.0000  0.5000  0.5000
Ni  0.5000  0.0000  0.5000

- ΔE to the lowest computed polymorph: 0.094 eV/atom
- Formation enthalpy at 0 K: 0.4 eV per formula unit
- SG: No. 10

***

First-principles (GGA-PBEsol) data for Zr5Tl3 after structural relaxation, as listed in Alexandria via LeMat-Bulk.

a b c (Å): 6.2603 6.2603 4.4769
angles (deg): 90.00 90.00 96.60
Sites, in units of the cell vectors:
Zr  0.0000  0.0000  0.0000
Zr  0.0000  0.5000  0.0000
Zr  0.2542  0.2542  0.5000
Zr  0.5000  0.0000  0.0000
Zr  0.7458  0.7458  0.5000
Tl  0.2371  0.7629  0.5000
Tl  0.5000  0.5000  0.0000
Tl  0.7629  0.2371  0.5000

- ΔE to the lowest computed polymorph: 0.034 eV/atom
- Formation enthalpy at 0 K: -1.1 eV per formula unit
- SG: No. 65

***

First-principles (GGA-PBEsol) data for ZnCd2Ag after structural relaxation, as listed in Alexandria via LeMat-Bulk.

a b c (Å): 4.4766 5.5592 5.5592
angles (deg): 30.94 90.00 90.00
Sites, in units of the cell vectors:
Zn  0.0000  0.0000  0.0000
Cd  0.0000  0.2614  0.2614
Cd  0.5000  0.6021  0.6021
Ag  0.5000  0.8680  0.8680

- Formation enthalpy at 0 K: 0.0 eV per formula unit
- SG: No. 38

***

First-principles (GGA-PBEsol) data for LiCa2MnSi after structural relaxation, as listed in Alexandria via LeMat-Bulk.

a b c (Å): 5.6668 5.6668 4.5479
angles (deg): 90.00 90.00 90.00
Sites, in units of the cell vectors:
Li  0.0000  0.0000  0.0000
Ca  0.0000  0.5000  0.5000
Ca  0.5000  0.0000  0.5000
Mn  0.5000  0.5000  0.0000
Si  0.5000  0.5000  0.5000

- SG: No. 123
- Uncorrected formation energy: 0.216 eV per atom

***

First-principles (GGA-PBEsol) data for Ba2CoWO6 after structural relaxation, as listed in Alexandria via LeMat-Bulk.

a b c (Å): 5.6901 5.6901 5.6901
angles (deg): 60.00 60.00 60.00
Sites, in units of the cell vectors:
Ba  0.2500  0.2500  0.2500
Ba  0.7500  0.7500  0.7500
Co  0.0000  0.0000  0.0000
W  0.5000  0.5000  0.5000
O  0.2589  0.2589  0.7411
O  0.2589  0.7411  0.2589
O  0.2589  0.7411  0.7411
O  0.7411  0.2589  0.2589
O  0.7411  0.2589  0.7411
O  0.7411  0.7411  0.2589

- SG: No. 225
- Uncorrected formation energy: -2.309 eV per atom

***

First-principles (GGA-PBEsol) data for Pr after structural relaxation, as listed in Alexandria via LeMat-Bulk.

a b c (Å): 9.0668 9.0668 9.0668
angles (deg): 23.25 23.25 23.25
Sites, in units of the cell vectors:
Pr  0.0000  0.0000  0.0000
Pr  0.2230  0.2230  0.2230
Pr  0.7770  0.7770  0.7770

- ΔE to the lowest computed polymorph: 0.006 eV/atom
- Formation enthalpy at 0 K: 0.0 eV per formula unit
- SG: No. 166